Record 1
4
Lattice="3.976 0.000 0.000 0.000 2.887 0.007 0.000 1.433 5.222" Properties=species:S:1:pos:R:3 comment="Tc2RhSe, optimized geometry, DFT PBE" e_form_raw_ev_per_fu=0.52 pbc="T T T"
Tc 1.988 0.900 1.295
Tc 0.000 2.344 0.074
Rh 0.000 2.339 2.744
Se 1.988 3.783 3.738



Record 2
4
Lattice="3.222 0.000 0.000 0.000 3.222 0.000 0.000 0.000 7.254" Properties=species:S:1:pos:R:3 comment="LiZrInAu, optimized geometry, DFT PBE" delta_e_f_ev_per_atom=-0.424 pbc="T T T"
Zr 0.000 0.000 2.468
Li 0.000 0.000 6.366
In 1.611 1.611 4.604
Au 1.611 1.611 0.547